{"formula": "V2H", "functional": "meta-GGA SCAN", "state": "single point on PBEsol structure", "energy_ev_per_atom": -12.99, "m_tot_mub_per_cell": 0.0, "lattice": [[2.1907, -1.4571, 0.0000], [2.1907, 1.4571, 0.0000], [-0.5586, 0.0000, 4.3621]], "species": ["V", "V", "H"], "fractional_positions": [[0.2291, 0.2291, 0.2681], [0.7709, 0.7709, 0.7319], [0.5000, 0.5000, 0.0000]]}